Entry 1:
The following is a PBE-GGA calculation of crystalline Li3CdPb2 at its relaxed geometry, from the Alexandria database.

a = 3.555 Å, b = 3.555 Å, c = 10.077 Å
α = 90.00°, β = 90.00°, γ = 90.00°
Atoms (fractional coordinates):
Pb: 0.500 0.500 0.177
Pb: 0.500 0.500 0.823
Cd: 0.500 0.500 0.500
Li: 0.000 0.000 0.000
Li: 0.000 0.000 0.656
Li: 0.000 0.000 0.344

Summary:
Magnetic moment   0.000 μB/cell
Uncorrected energy   -15.58 eV/f.u.

Entry 2:
The following is a PBE-GGA calculation of crystalline Sm2SnPt at its relaxed geometry, from the Alexandria database.

a = 3.580 Å, b = 3.580 Å, c = 7.951 Å
α = 90.00°, β = 90.00°, γ = 90.00°
Atoms (fractional coordinates):
Pt: 0.500 0.500 0.000
Sm: 0.000 0.000 0.219
Sm: 0.000 0.000 0.781
Sn: 0.500 0.500 0.500

Summary:
Magnetic moment   0.000 μB/cell
Uncorrected energy   -23.03 eV/f.u.

Entry 3:
The following is a PBE-GGA calculation of crystalline RbBPCl2 at its relaxed geometry, from the Alexandria database.

a = 6.167 Å, b = 6.167 Å, c = 6.359 Å
α = 90.00°, β = 90.00°, γ = 90.00°
Atoms (fractional coordinates):
Cl: 0.000 0.500 0.000
Cl: 0.500 0.000 0.000
P: 0.000 0.000 0.500
Rb: 0.000 0.000 0.000
B: 0.500 0.500 0.500

Summary:
Magnetic moment   3.063 μB/cell
E_form (uncorrected)   1.255 eV per atom
Uncorrected energy   -10.47 eV/f.u.
Offset from the most stable computed form   1.401 eV/atom

Entry 4:
The following is a PBE-GGA calculation of crystalline Sc2Tl2Pd5 at its relaxed geometry, from the Alexandria database.

a = 8.746 Å, b = 5.682 Å, c = 8.727 Å
α = 109.00°, β = 120.07°, γ = 90.00°
Atoms (fractional coordinates):
Pd: 0.600 0.665 0.700
Pd: 0.600 0.165 0.700
Pd: 0.000 0.566 0.500
Pd: 0.000 0.066 0.500
Pd: 0.797 0.861 0.093
Pd: 0.400 0.965 0.300
Pd: 0.204 0.268 0.907
Pd: 0.203 0.768 0.907
Pd: 0.400 0.465 0.300
Pd: 0.796 0.361 0.093
Tl: 0.500 0.565 0.000
Tl: 0.000 0.065 0.000
Tl: 0.268 0.315 0.500
Tl: 0.732 0.815 0.500
Sc: 0.350 0.936 0.743
Sc: 0.893 0.436 0.743
Sc: 0.650 0.194 0.257
Sc: 0.107 0.694 0.257

Summary:
Magnetic moment   0.000 μB/cell
Uncorrected energy   -47.09 eV/f.u.

Entry 5:
The following is a PBE-GGA calculation of crystalline Lu2TeI at its relaxed geometry, from the Alexandria database.

a = 3.999 Å, b = 3.999 Å, c = 9.920 Å
α = 78.37°, β = 78.37°, γ = 60.00°
Atoms (fractional coordinates):
Lu: 0.100 0.100 0.701
Lu: 0.900 0.900 0.299
I: 0.000 0.000 0.000
Te: 0.500 0.500 0.500

Summary:
Magnetic moment   0.163 μB/cell
E_form (uncorrected)   -0.654 eV per atom
Uncorrected energy   -16.35 eV/f.u.

Entry 6:
The following is a PBE-GGA calculation of crystalline PmAsPb at its relaxed geometry, from the Alexandria database.

a = 4.976 Å, b = 4.976 Å, c = 9.402 Å
α = 74.65°, β = 74.65°, γ = 60.00°
Atoms (fractional coordinates):
Pm: 0.223 0.223 0.331
Pm: 0.777 0.777 0.669
Pb: 0.357 0.357 0.929
Pb: 0.643 0.643 0.071
As: 0.115 0.115 0.655
As: 0.885 0.885 0.345

Summary:
Magnetic moment   0.000 μB/cell
Uncorrected energy   -14.97 eV/f.u.
Offset from the most stable computed form   0.000 eV/atom

Entry 7:
The following is a PBE-GGA calculation of crystalline CaInAsPt2 at its relaxed geometry, from the Alexandria database.

a = 4.791 Å, b = 5.341 Å, c = 4.791 Å
α = 90.00°, β = 90.00°, γ = 90.00°
Atoms (fractional coordinates):
As: 0.000 0.000 0.000
Pt: 0.500 0.000 0.000
Pt: 0.000 0.000 0.500
In: 0.500 0.500 0.500
Ca: 0.000 0.500 0.000

Summary:
Magnetic moment   0.000 μB/cell
Uncorrected energy   -22.02 eV/f.u.

Entry 8:
The following is a PBE-GGA calculation of crystalline Li4MnAl at its relaxed geometry, from the Alexandria database.

a = 5.039 Å, b = 5.039 Å, c = 5.039 Å
α = 60.00°, β = 60.00°, γ = 60.00°
Atoms (fractional coordinates):
Li: 0.375 0.375 0.875
Li: 0.375 0.875 0.375
Li: 0.875 0.375 0.375
Li: 0.375 0.375 0.375
Mn: 0.750 0.750 0.750
Al: 0.000 0.000 0.000

Summary:
Magnetic moment   3.713 μB/cell
Uncorrected energy   -19.68 eV/f.u.